! DyHo3Ga3 PBE-GGA optimized geometry; values from VASP
! **Total magnetization**: 0.000 μB per formula unit
! **Formation energy**: -0.43 eV/atom
! **Density**: 8.4 g/cm³
&SYSTEM
  ibrav = 0, nat = 14, ntyp = 3
/
ATOMIC_SPECIES
Dy 162.50 Dy.upf
Ho 164.93 Ho.upf
Ga 69.72 Ga.upf
CELL_PARAMETERS angstrom
-3.612 1.648 2.670
-5.644 -0.953 -7.047
1.180 -6.858 5.830
ATOMIC_POSITIONS crystal
Dy 0.250 0.667 0.333
Dy 0.750 0.333 0.667
Ho 0.750 0.761 0.746
Ho 0.750 0.254 0.014
Ho 0.750 0.986 0.239
Ho 0.250 0.239 0.254
Ho 0.250 0.746 0.986
Ho 0.250 0.014 0.761
Ga 0.250 0.550 0.609
Ga 0.250 0.391 0.942
Ga 0.250 0.058 0.450
Ga 0.750 0.450 0.391
Ga 0.750 0.609 0.058
Ga 0.750 0.942 0.550



! Dy2HoGa2 PBE-GGA optimized geometry; values from VASP
! **Energy above the lowest structure with this stoichiometry**: 152 meV/atom
! **Total magnetization**: 0.000 μB per formula unit
! **Formation energy**: -0.37 eV/atom
! **Density**: 8.1 g/cm³
&SYSTEM
  ibrav = 0, nat = 5, ntyp = 3
/
ATOMIC_SPECIES
Dy 162.50 Dy.upf
Ho 164.93 Ho.upf
Ga 69.72 Ga.upf
CELL_PARAMETERS angstrom
-2.734 0.025 2.344
-2.073 -4.977 -2.367
5.193 -2.137 3.314
ATOMIC_POSITIONS crystal
Dy 0.364 0.429 0.728
Dy 0.636 0.571 0.272
Ho 0.000 0.000 0.000
Ga 0.701 0.114 0.402
Ga 0.299 0.886 0.598



! DyHo5Ga6 PBE-GGA optimized geometry; values from VASP
! **Total magnetization**: 0.000 μB per formula unit
! **Formation energy**: -0.58 eV/atom
! **Density**: 8.7 g/cm³
&SYSTEM
  ibrav = 0, nat = 12, ntyp = 3
/
ATOMIC_SPECIES
Ho 164.93 Ho.upf
Ga 69.72 Ga.upf
Dy 162.50 Dy.upf
CELL_PARAMETERS angstrom
-2.257 -2.700 -3.592
6.302 -1.235 -3.032
-0.336 -7.581 2.389
ATOMIC_POSITIONS crystal
Ho 0.666 0.500 0.667
Ho 0.333 0.000 0.334
Ho 0.000 0.500 0.000
Ho 0.667 0.000 0.666
Ho 0.334 0.500 0.333
Ga 0.833 0.749 0.334
Ga 0.833 0.251 0.334
Ga 0.500 0.250 0.000
Ga 0.500 0.750 0.000
Ga 0.167 0.749 0.666
Ga 0.167 0.251 0.666
Dy 0.000 0.000 0.000



! DyHoGa PBE-GGA optimized geometry; values from VASP
! **Energy above the lowest structure with this stoichiometry**: 259 meV/atom
! **Total magnetization**: 0.367 μB per formula unit
! **Formation energy**: -0.13 eV/atom
! **Density**: 8.0 g/cm³
&SYSTEM
  ibrav = 0, nat = 6, ntyp = 3
/
ATOMIC_SPECIES
Ho 164.93 Ho.upf
Dy 162.50 Dy.upf
Ga 69.72 Ga.upf
CELL_PARAMETERS angstrom
-1.560 3.002 1.176
1.622 -2.201 2.315
12.668 7.330 -1.905
ATOMIC_POSITIONS crystal
Ho 0.667 0.333 0.596
Ho 0.333 0.667 0.404
Dy 0.667 0.333 0.208
Dy 0.333 0.667 0.792
Ga 0.667 0.333 0.942
Ga 0.333 0.667 0.058



! DyHo2Ga PBE-GGA optimized geometry; values from VASP
! **Energy above the lowest structure with this stoichiometry**: 0 meV/atom
! **Total magnetization**: 0.000 μB per formula unit
! **Formation energy**: -0.28 eV/atom
! **Density**: 8.6 g/cm³
&SYSTEM
  ibrav = 0, nat = 4, ntyp = 3
/
ATOMIC_SPECIES
Ho 164.93 Ho.upf
Ga 69.72 Ga.upf
Dy 162.50 Dy.upf
CELL_PARAMETERS angstrom
3.506 0.000 0.000
0.000 3.506 0.000
0.000 0.000 8.846
ATOMIC_POSITIONS crystal
Ho 0.000 0.000 0.790
Ho 0.000 0.000 0.210
Ga 0.500 0.500 0.000
Dy 0.500 0.500 0.500



! DyHo8Ga6 PBE-GGA optimized geometry; values from VASP
! **Total magnetization**: 0.000 μB per formula unit
! **Formation energy**: -0.36 eV/atom
! **Density**: 8.0 g/cm³
&SYSTEM
  ibrav = 0, nat = 15, ntyp = 3
/
ATOMIC_SPECIES
Dy 162.50 Dy.upf
Ho 164.93 Ho.upf
Ga 69.72 Ga.upf
CELL_PARAMETERS angstrom
-4.706 0.383 7.187
-7.200 -4.652 0.678
-0.739 -6.077 4.985
ATOMIC_POSITIONS crystal
Dy 0.000 0.000 0.000
Ho 0.555 0.222 0.335
Ho 0.778 0.111 0.665
Ho 0.111 0.445 0.665
Ho 0.667 0.667 0.000
Ho 0.333 0.333 0.000
Ho 0.889 0.555 0.335
Ho 0.222 0.889 0.335
Ho 0.445 0.778 0.665
Ga 0.393 0.060 0.821
Ga 0.940 0.274 0.179
Ga 0.274 0.607 0.179
Ga 0.726 0.393 0.821
Ga 0.060 0.726 0.821
Ga 0.607 0.940 0.179